BeHRh2 | PBE | relaxed

abc: 5.457 5.457 5.393
angles: 90.00 90.00 90.00
Fractional coordinates of all 16 atoms:
Be: 0.000 0.000 0.000
Be: 0.000 0.500 0.250
Be: 0.500 0.000 0.750
Be: 0.500 0.500 0.500
H: 0.000 0.000 0.500
H: 0.000 0.500 0.750
H: 0.500 0.000 0.250
H: 0.500 0.500 0.000
Rh: 0.191 0.250 0.625
Rh: 0.250 0.691 0.875
Rh: 0.250 0.809 0.375
Rh: 0.309 0.250 0.125
Rh: 0.691 0.750 0.125
Rh: 0.750 0.191 0.375
Rh: 0.750 0.309 0.875
Rh: 0.809 0.750 0.625

- Offset from the most stable computed form: 0.076 eV per atom
- ρ: 8.9 g/cm3
- Space-group type: No. 122

---

La8IrPd2C | PBE | relaxed

abc: 6.785 8.297 6.846
angles: 90.00 90.79 90.00
Fractional coordinates of all 12 atoms:
La: 0.221 0.228 0.349
La: 0.221 0.772 0.349
La: 0.231 0.000 0.813
La: 0.252 0.500 0.840
La: 0.748 0.500 0.160
La: 0.769 0.000 0.187
La: 0.779 0.228 0.651
La: 0.779 0.772 0.651
Ir: 0.000 0.500 0.500
Pd: 0.500 0.240 0.000
Pd: 0.500 0.760 0.000
C: 0.000 0.000 0.500

- ρ: 6.6 g/cm3
- Energy of formation: -0.3847 eV per atom
- Space-group type: No. 10

---

Li2CaIn4Ag | PBE | relaxed

abc: 9.995 9.995 9.995
angles: 27.35 27.35 27.35
Fractional coordinates of all 8 atoms:
Li: 0.228 0.228 0.228
Li: 0.772 0.772 0.772
Ca: 0.000 0.000 0.000
In: 0.121 0.121 0.121
In: 0.398 0.398 0.398
In: 0.602 0.602 0.602
In: 0.879 0.879 0.879
Ag: 0.500 0.500 0.500

- ρ: 5.5 g/cm3
- Energy of formation: -0.2495 eV per atom
- Space-group type: No. 166

---

CaIn2Ag2 | PBE | relaxed

abc: 13.062 13.062 13.062
angles: 160.60 160.60 27.57
Fractional coordinates of all 10 atoms:
Ca: 0.129 0.129 0.000
Ca: 0.871 0.871 0.000
In: 0.250 0.750 0.500
In: 0.429 0.429 0.000
In: 0.571 0.571 0.000
In: 0.750 0.250 0.500
Ag: 0.000 0.500 0.500
Ag: 0.322 0.322 0.000
Ag: 0.500 0.000 0.500
Ag: 0.678 0.678 0.000

- Offset from the most stable computed form: 0.011 eV per atom
- ρ: 6.6 g/cm3
- Energy of formation: -0.2210 eV per atom
- Space-group type: No. 139

---

Li2Ag3Au4 | PBE | relaxed

abc: 5.026 5.026 8.628
angles: 107.24 107.24 48.34
Fractional coordinates of all 9 atoms:
Li: 0.167 0.167 0.219
Li: 0.833 0.833 0.781
Ag: 0.168 0.168 0.554
Ag: 0.500 0.500 0.000
Ag: 0.832 0.832 0.446
Au: 0.167 0.167 0.890
Au: 0.500 0.500 0.330
Au: 0.500 0.500 0.670
Au: 0.833 0.833 0.110

- Offset from the most stable computed form: 0.000 eV per atom
- ρ: 12.1 g/cm3
- Energy of formation: -0.2606 eV per atom
- Space-group type: No. 12

---

Ca3Zr3TaN8 | PBE | relaxed

abc: 6.807 6.807 6.807
angles: 57.53 57.53 57.53
Fractional coordinates of all 15 atoms:
Ca: 0.000 0.500 0.500
Ca: 0.500 0.000 0.500
Ca: 0.500 0.500 0.000
Zr: 0.000 0.000 0.500
Zr: 0.000 0.500 0.000
Zr: 0.500 0.000 0.000
Ta: 0.500 0.500 0.500
N: 0.239 0.239 0.239
N: 0.252 0.725 0.725
N: 0.275 0.275 0.748
N: 0.275 0.748 0.275
N: 0.725 0.252 0.725
N: 0.725 0.725 0.252
N: 0.748 0.275 0.275
N: 0.761 0.761 0.761

- ρ: 5.4 g/cm3
- Raw formation energy: -1281 meV per atom
- Space-group type: No. 166

---

ZnCdFe2 | PBE | relaxed

abc: 2.693 3.932 5.456
angles: 90.00 90.00 90.00
Fractional coordinates of all 4 atoms:
Zn: 0.000 0.000 0.000
Cd: 0.000 0.000 0.500
Fe: 0.500 0.500 0.223
Fe: 0.500 0.500 0.777

- ρ: 8.3 g/cm3
- Energy of formation: 0.2111 eV per atom
- Space-group type: No. 47

---

CeHoTlOs | PBE | relaxed

abc: 7.239 7.239 7.239
angles: 90.00 90.00 90.00
Fractional coordinates of all 16 atoms:
Ce: 0.000 0.000 0.000
Ce: 0.000 0.500 0.500
Ce: 0.500 0.000 0.500
Ce: 0.500 0.500 0.000
Ho: 0.000 0.000 0.500
Ho: 0.000 0.500 0.000
Ho: 0.500 0.000 0.000
Ho: 0.500 0.500 0.500
Tl: 0.250 0.250 0.250
Tl: 0.250 0.750 0.750
Tl: 0.750 0.250 0.750
Tl: 0.750 0.750 0.250
Os: 0.250 0.250 0.750
Os: 0.250 0.750 0.250
Os: 0.750 0.250 0.250
Os: 0.750 0.750 0.750

- Offset from the most stable computed form: 0.235 eV per atom
- ρ: 12.3 g/cm3
- Energy of formation: -0.0714 eV per atom
- Space-group type: No. 216